(1)
CeMg | PBEsol | optimized geometry

Calculated values
DFT formation energy: 0.1 eV/f.u.
E_tot: -4.12 eV per atom
Total magnetic moment: 0.00 Bohr magnetons per cell

a b c (Å): 3.0707 3.0707 11.3979
angles (deg): 90.00 90.00 120.00
Space group P-3m1 (No. 164)
Unique sites:
Ce  0.3333  0.6667  0.1300
Mg  0.3333  0.6667  0.6155



(2)
AgBr2 | PBEsol | optimized geometry

Calculated values
E_tot: -2.54 eV per atom
Formation energy without anion corrections: -0.56 eV/f.u.
Total magnetic moment: 0.00 Bohr magnetons per cell

a b c (Å): 3.787 12.363 6.925
angles (deg): 90.00 90.00 90.00
Space group Cmcm (No. 63)
Unique sites:
Ag  0.000  0.191  0.250
Br  0.000  0.168  0.750
Br  0.000  0.448  0.750